(1)
LaTbGa2, relaxed, DFT PBE; V = 25.0 Å³/atom; space group = Fm-3m; spin magnetization = 0.0 μB/f.u.; ΔH_f (0 K) = -0.573 eV per atom
1.0
0.000 3.685 3.685
3.685 0.000 3.685
3.685 3.685 0.000
La Tb Ga
1 1 2
Cartesian
0.000 0.000 0.000
3.685 3.685 3.685
1.843 1.843 1.843
5.528 5.528 5.528

(2)
LaTbGa, relaxed, DFT PBE; V = 28.8 Å³/atom; space group = I4mm; spin magnetization = 0.0 μB/f.u.; ΔH_f (0 K) = -0.346 eV per atom
1.0
-1.795 1.795 6.691
1.795 -1.795 6.691
1.795 1.795 -6.691
La Tb Ga
1 1 1
Cartesian
0.000 0.000 0.000
0.000 0.000 3.812
0.000 0.000 8.745